First-principles (GGA-PBE) data for crystalline TiCl at its relaxed geometry, as listed in Alexandria.

Unit cell a=3.1820 b=5.9961 c=11.5340 alpha=90.00 beta=90.00 gamma=90.00
Element x y z (fractional)
Cl  0.5000  0.3567  0.5000
Ti  0.0000  0.7083  0.5000
Ti  0.5000  0.0032  0.3736
Cl  0.0000  0.6433  0.0000
Ti  0.5000  0.0032  0.6264
Cl  0.0000  0.7291  0.2887
Cl  0.5000  0.2709  0.7887
Ti  0.5000  0.2917  0.0000
Ti  0.0000  0.9968  0.8736
Ti  0.0000  0.9968  0.1264
Cl  0.5000  0.2709  0.2113
Cl  0.0000  0.7291  0.7113

## Properties
SG = Pmmn (59)
formation energy without anion corrections = -19.892 kcal/mol of atoms
volume = 18.339 A^3/atom

---

First-principles (GGA-PBE) data for crystalline CaY2PbC at its relaxed geometry, as listed in Alexandria.

Unit cell a=4.9413 b=4.9413 c=4.9924 alpha=90.00 beta=90.00 gamma=90.00
Element x y z (fractional)
Y  0.0000  0.5000  0.0000
Ca  0.0000  0.0000  0.5000
Y  0.5000  0.0000  0.0000
Pb  0.5000  0.5000  0.5000
C  0.0000  0.0000  0.0000

## Properties
SG = P4/mmm (123)
energy of formation = -11.2 kcal/mol of atoms
volume = 24.379 A^3/atom

---

First-principles (GGA-PBE) data for crystalline TaMn2Cr at its relaxed geometry, as listed in Alexandria.

Unit cell a=2.6290 b=2.6290 c=7.9564 alpha=90.00 beta=90.00 gamma=107.48
Site moments in Bohr magnetons follow the coordinates.
Element x y z (fractional)
Ta  0.0000  0.0000  0.4968  -0.06
Mn  0.5000  0.5000  0.2251  0.97
Cr  0.5000  0.5000  0.7745  -0.15
Mn  0.0000  0.0000  0.0035  1.07

## Properties
SG = Cmm2 (35)
energy of formation = 4.3 kcal/mol of atoms
volume = 13.113 A^3/atom

---

First-principles (GGA-PBE) data for crystalline BaMn2Au at its relaxed geometry, as listed in Alexandria.

Unit cell a=4.5636 b=4.5636 c=6.4234 alpha=69.21 beta=69.21 gamma=60.04
Site moments in Bohr magnetons follow the coordinates.
Element x y z (fractional)
Mn  0.9482  0.9482  0.1555  3.84
Au  0.2500  0.2500  0.2500  0.10
Ba  0.7500  0.7500  0.7500  -0.04
Mn  0.5518  0.5518  0.3445  3.84

## Properties
SG = R-3m (166)
energy of formation = 4.0 kcal/mol of atoms
volume = 26.429 A^3/atom

---

First-principles (GGA-PBE) data for crystalline ZnSb2Ir at its relaxed geometry, as listed in Alexandria.

Unit cell a=3.9138 b=3.9138 c=7.1214 alpha=74.49 beta=74.49 gamma=60.44
Element x y z (fractional)
Zn  0.7500  0.7500  0.7500
Ir  0.2500  0.2500  0.2500
Sb  0.9844  0.9844  0.0382
Sb  0.5156  0.5156  0.4618

## Properties
SG = C2/m (12)
formation energy without anion corrections = -0.226 kcal/mol of atoms
volume = 22.556 A^3/atom
polymorph energy (0 for the lowest one) = 53.0 meV/atom

---

First-principles (GGA-PBE) data for crystalline Te2OsSN at its relaxed geometry, as listed in Alexandria.

Unit cell a=5.2101 b=5.2101 c=3.2711 alpha=90.00 beta=90.00 gamma=90.00
Element x y z (fractional)
S  0.0000  0.0000  0.0000
Os  0.5000  0.5000  0.5000
Te  0.5000  0.0000  0.0000
Te  0.0000  0.5000  0.0000
N  0.0000  0.0000  0.5000

## Properties
SG = P4/mmm (123)
formation energy without anion corrections = 30.126 kcal/mol of atoms
volume = 17.759 A^3/atom
polymorph energy (0 for the lowest one) = 766.5 meV/atom

---

no.,magnetization (Bohr magnetons per cell)
1,0.00
2,0.00
3,1.83
4,8.13
5,0.00
6,0.00